[1]
## Sr2HgRh (SCAN)

Data for a crystal of Sr2HgRh relaxed with PBEsol.

Geometry as CIF:
```
data_Sr2HgRh
_chemical_formula_sum 'Sr4 Hg2 Rh2'
_space_group_name_H-M_alt 'P 1'
_space_group_IT_number 1
_space_group_name_Hall 'P 1'
_cell_length_a 4.4662
_cell_length_b 4.4110
_cell_length_c 11.4198
_cell_angle_alpha 90.00
_cell_angle_beta 90.00
_cell_angle_gamma 90.00
loop_
_atom_site_label
_atom_site_type_symbol
_atom_site_fract_x
_atom_site_fract_y
_atom_site_fract_z
_atom_site_occupancy
Sr1 Sr 0.0000 0.0000 0.0000 1
Sr2 Sr 0.0000 0.5000 0.5000 1
Sr3 Sr 0.5000 0.0000 0.2821 1
Sr4 Sr 0.5000 0.5000 0.7821 1
Hg1 Hg 0.0000 0.0000 0.7093 1
Hg2 Hg 0.0000 0.5000 0.2092 1
Rh1 Rh 0.5000 0.0000 0.5718 1
Rh2 Rh 0.5000 0.5000 0.0718 1
```

Computed properties:
energy	-37.07	eV per atom
density	7.07	Mg/m³
Fermi-level density of states	3.4	states/eV per cell
total magnetization	0.0	μB per formula unit
calculated volume	224.97	Å³/cell
E_form	-10.4	kcal/mol of atoms

[2]
## RbSbRh3 (SCAN)

Data for a crystal of RbSbRh3 relaxed with PBEsol.

Geometry as CIF:
```
data_RbSbRh3
_chemical_formula_sum 'Rb1 Sb1 Rh3'
_space_group_name_H-M_alt 'P 1'
_space_group_IT_number 1
_space_group_name_Hall 'P 1'
_cell_length_a 4.9036
_cell_length_b 4.9036
_cell_length_c 4.9036
_cell_angle_alpha 90.00
_cell_angle_beta 90.00
_cell_angle_gamma 90.00
loop_
_atom_site_label
_atom_site_type_symbol
_atom_site_fract_x
_atom_site_fract_y
_atom_site_fract_z
_atom_site_occupancy
Rb1 Rb 0.0000 0.0000 0.0000 1
Sb1 Sb 0.5000 0.5000 0.5000 1
Rh1 Rh 0.0000 0.5000 0.5000 1
Rh2 Rh 0.5000 0.0000 0.5000 1
Rh3 Rh 0.5000 0.5000 0.0000 1
```

Computed properties:
energy	-31.22	eV per atom
density	7.27	Mg/m³
Fermi-level density of states	3.3	states/eV per cell
total magnetization	0.7	μB per formula unit
calculated volume	117.91	Å³/cell
ΔE_f (raw)	0.64	eV/atom